# GGA-PBE BaTa2Cu, relaxed
# Spin magnetization: 0.00 μB per cell
# ΔE to the lowest computed polymorph: 482.9 meV per atom
# ΔE_f: 987 meV per atom
data_BaTa2Cu
_space_group_name_H-M_alt 'P m m m'
_space_group_IT_number 47
_space_group_name_Hall '-P 2 2'
_cell_length_a 3.084
_cell_length_b 5.079
_cell_length_c 5.528
_cell_angle_alpha 90.00
_cell_angle_beta 90.00
_cell_angle_gamma 90.00
loop_
_atom_site_label
_atom_site_fract_x
_atom_site_fract_y
_atom_site_fract_z
Ba1 0.000 0.000 0.000
Ta1 0.000 0.500 0.500
Ta2 0.500 0.000 0.500
Cu1 0.500 0.500 0.000